Here is a geometry-optimized NaSrFe2Br8 structure from Alexandria via LeMat-Bulk. Energies are from PBE.

Cell: 6.956 6.956 10.296 Å, 90.00 90.00 120.00°
Sites, in units of the cell vectors:
1 Na 0.000 0.000 0.000
2 Sr 0.000 0.000 0.500
3 Fe 0.333 0.667 0.765
4 Fe 0.667 0.333 0.235
5 Br 0.003 0.336 0.694
6 Br 0.333 0.667 0.993
7 Br 0.333 0.997 0.694
8 Br 0.336 0.333 0.306
9 Br 0.664 0.667 0.694
10 Br 0.667 0.003 0.306
11 Br 0.667 0.333 0.007
12 Br 0.997 0.664 0.306

- crystal system = trigonal
- raw formation energy (eV/atom) = -0.992